SCAN Ba2MgTa, PBEsol geometry; raw total energy = -147.406 eV/f.u.; space group = Cm, No. 8; energy of formation = 0.81 eV/atom
1.0
3.374 0.000 0.000
0.000 6.213 0.025
-1.687 -2.004 6.035
Ba Mg Ta
2 1 1
direct
0.972 0.928 0.944
0.772 0.309 0.544
0.542 0.486 0.084
0.214 0.776 0.427

---

SCAN CoAgBr4, PBEsol geometry; raw total energy = -120.745 eV/f.u.; space group = F-43m, No. 216; uncorrected formation energy = 0.961 eV per atom
1.0
6.015 0.000 0.000
3.007 5.209 0.000
3.007 1.736 4.911
Co Br Ag
1 4 1
direct
0.750 0.750 0.750
0.376 0.376 0.376
0.376 0.376 0.873
0.873 0.376 0.376
0.376 0.873 0.376
0.000 0.000 0.000

---

SCAN Li5BS4O16, PBEsol geometry; raw total energy = -209.758 eV/f.u.; space group = P2_1/c, No. 14; uncorrected formation energy = -2.006 eV per atom
1.0
8.013 0.000 0.045
0.000 10.161 0.000
-3.646 0.000 14.582
Li B S O
20 4 16 64
direct
0.403 0.835 0.405
0.097 0.335 0.095
0.597 0.165 0.595
0.903 0.665 0.905
0.195 0.187 0.294
0.305 0.687 0.206
0.805 0.813 0.706
0.695 0.313 0.794
0.077 0.881 0.185
0.423 0.381 0.315
0.923 0.119 0.815
0.577 0.619 0.685
0.721 0.867 0.020
0.779 0.367 0.480
0.279 0.133 0.980
0.221 0.633 0.520
0.393 0.706 0.016
0.107 0.206 0.484
0.607 0.294 0.984
0.893 0.794 0.516
0.759 0.542 0.243
0.741 0.042 0.257
0.241 0.458 0.757
0.259 0.958 0.743
0.916 0.620 0.111
0.584 0.120 0.389
0.084 0.380 0.889
0.416 0.880 0.611
0.386 0.377 0.621
0.114 0.877 0.879
0.614 0.623 0.379
0.886 0.123 0.121
0.046 0.951 0.362
0.454 0.451 0.138
0.954 0.049 0.638
0.546 0.549 0.862
0.449 0.942 0.138
0.051 0.442 0.362
0.551 0.058 0.862
0.949 0.558 0.638
0.059 0.689 0.173
0.441 0.189 0.327
0.941 0.311 0.827
0.559 0.811 0.673
0.846 0.700 0.029
0.654 0.200 0.471
0.154 0.300 0.971
0.346 0.800 0.529
0.956 0.487 0.090
0.544 0.987 0.410
0.044 0.513 0.910
0.456 0.013 0.590
0.056 0.170 0.172
0.444 0.670 0.328
0.944 0.830 0.828
0.556 0.330 0.672
0.896 0.984 0.095
0.604 0.484 0.405
0.104 0.016 0.905
0.396 0.516 0.595
0.819 0.209 0.043
0.681 0.709 0.457
0.181 0.791 0.957
0.319 0.291 0.543
0.994 0.887 0.436
0.506 0.387 0.064
0.006 0.113 0.564
0.494 0.613 0.936
0.175 0.878 0.326
0.325 0.378 0.174
0.825 0.122 0.674
0.675 0.622 0.826
0.399 0.588 0.119
0.101 0.088 0.381
0.601 0.412 0.881
0.899 0.912 0.619
0.187 0.368 0.335
0.313 0.868 0.165
0.813 0.632 0.665
0.687 0.132 0.835
0.108 0.570 0.401
0.392 0.070 0.099
0.892 0.430 0.599
0.608 0.930 0.901
0.527 0.862 0.077
0.973 0.362 0.423
0.473 0.138 0.923
0.027 0.638 0.577
0.766 0.618 0.161
0.734 0.118 0.339
0.234 0.382 0.839
0.266 0.882 0.661
0.741 0.635 0.316
0.759 0.135 0.184
0.259 0.365 0.684
0.241 0.865 0.816
0.891 0.952 0.276
0.609 0.452 0.224
0.109 0.048 0.724
0.391 0.548 0.776
0.586 0.960 0.228
0.914 0.460 0.272
0.414 0.040 0.772
0.086 0.540 0.728

---

SCAN Tc2Sb3, PBEsol geometry; raw total energy = -180.957 eV/f.u.; space group = P-3m1, No. 164; uncorrected formation energy = 0.189 eV per atom
1.0
4.454 0.000 0.000
-2.227 3.857 0.000
0.000 0.000 5.758
Sb Tc
3 2
direct
0.000 0.000 0.000
0.333 0.667 0.348
0.667 0.333 0.652
0.333 0.667 0.841
0.667 0.333 0.159

---

SCAN Rb4MnMo3O12, PBEsol geometry; raw total energy = -325.912 eV/f.u.; space group = P31c, No. 159; uncorrected formation energy = -2.263 eV per atom
1.0
-1.552 -5.814 0.518
2.228 2.967 4.766
-21.904 6.402 6.255
Rb Mn Mo O
8 2 6 24
direct
0.333 0.667 0.030
0.333 0.667 0.474
0.667 0.333 0.530
0.667 0.333 0.974
0.667 0.333 0.154
0.667 0.333 0.340
0.333 0.667 0.654
0.333 0.667 0.840
0.000 0.000 0.250
0.000 0.000 0.750
0.000 0.000 0.090
0.000 0.000 0.410
0.000 0.000 0.590
0.000 0.000 0.910
0.333 0.667 0.228
0.667 0.333 0.728
0.000 0.000 0.167
0.000 0.000 0.334
0.000 0.000 0.667
0.000 0.000 0.834
0.315 0.169 0.065
0.855 0.685 0.065
0.831 0.145 0.065
0.315 0.118 0.434
0.803 0.685 0.434
0.882 0.197 0.434
0.685 0.855 0.565
0.145 0.831 0.565
0.169 0.315 0.565
0.685 0.803 0.934
0.197 0.882 0.934
0.118 0.315 0.934
0.333 0.667 0.154
0.667 0.333 0.654
0.314 0.937 0.252
0.624 0.686 0.252
0.063 0.376 0.252
0.686 0.624 0.752
0.376 0.063 0.752
0.937 0.314 0.752

---

SCAN ZnTc2Cl, PBEsol geometry; raw total energy = -88.293 eV/f.u.; space group = P4/mmm, No. 123; uncorrected formation energy = 0.830 eV per atom
1.0
-0.881 2.320 1.506
-3.690 -2.018 0.950
1.806 -1.626 3.562
Zn Tc Cl
1 2 1
direct
0.500 0.500 0.500
0.000 0.000 0.500
0.000 0.500 0.000
0.500 0.000 0.000

---

SCAN Li4MgNi3O8, PBEsol geometry; raw total energy = -142.434 eV/f.u.; space group = P2/c, No. 13; offset from the most stable computed form = 0 meV per atom; uncorrected formation energy = -1.846 eV per atom
1.0
-4.855 0.394 2.978
2.005 -3.790 3.771
3.190 6.036 4.402
Li Mg Ni O
8 2 6 16
direct
0.250 0.750 0.250
0.750 0.250 0.750
0.252 0.250 0.750
0.748 0.750 0.250
0.000 0.000 0.000
0.500 0.500 0.500
0.000 0.500 0.500
0.500 0.000 0.000
0.249 0.750 0.750
0.751 0.250 0.250
0.251 0.250 0.250
0.749 0.750 0.750
0.500 0.000 0.500
0.000 0.000 0.500
0.500 0.500 0.000
0.000 0.500 0.000
0.267 0.238 0.501
0.733 0.738 0.001
0.267 0.262 0.999
0.733 0.762 0.499
0.249 0.779 0.501
0.751 0.279 0.001
0.249 0.721 0.999
0.751 0.221 0.499
0.016 0.484 0.235
0.514 0.985 0.733
0.486 0.015 0.267
0.984 0.516 0.765
0.016 0.016 0.265
0.514 0.515 0.767
0.486 0.485 0.233
0.984 0.984 0.735

---

SCAN Ni2TeIr, PBEsol geometry; raw total energy = -139.521 eV/f.u.; space group = P4mm, No. 99; offset from the most stable computed form = 0 meV per atom; uncorrected formation energy = 0.294 eV per atom
1.0
3.246 0.000 0.000
0.000 3.246 0.000
0.000 0.000 5.351
Ir Ni Te
1 2 1
direct
0.500 0.500 0.769
0.000 0.000 0.016
0.500 0.500 0.231
0.000 0.000 0.483

---

- Look up the raw total energy of the fourth one.
  -180.957 eV/f.u.